[1]
The following is a PBE calculation of an optimized crystal structure of AgIr2Os2, from Alexandria.

The magnetic moment is 0.00 μB per cell. The formation energy comes out at 1.9 eV/f.u.

The structure belongs to space group P4/mbm (No. 127); the cell edges are 7.6365, 7.6365 and 2.7374 Å and the angles 90.00°, 90.00° and 90.00°. Symmetry generates all atoms from Ag at (0.0000, 0.0000, 0.0000), Ir at (0.1715, 0.3285, 0.5000) and Os at (0.1221, 0.6221, 0.0000).


[2]
The following is a PBE calculation of an optimized crystal structure of Dy2AlRe3, from Alexandria.

The magnetic moment is 0.00 μB per cell. The formation energy comes out at -1.9 eV/f.u.

The structure belongs to space group R-3m (No. 166, hexagonal axes); the cell edges are 5.3498, 5.3498 and 13.5734 Å and the angles 90.00°, 90.00° and 120.00°. Symmetry generates all atoms from Dy at (0.0000, 0.0000, 0.1216), Al at (0.0000, 0.0000, 0.5000) and Re at (0.0000, 0.5000, 0.0000).


[3]
The following is a PBE calculation of an optimized crystal structure of Sr2Ta, from Alexandria.

As for the excess energy over the best structure of this formula in the dataset: 363 meV per atom. The magnetic moment is 0.00 μB per cell. The formation energy comes out at 2.9 eV/f.u.

The structure belongs to space group P-3m1 (No. 164); the cell edges are 3.5035, 3.5035 and 9.1122 Å and the angles 90.00°, 90.00° and 120.00°. Symmetry generates all atoms from Sr at (0.3333, 0.6667, 0.2918) and Ta at (0.0000, 0.0000, 0.0000).


Repeat the third record exactly.
The following is a PBE calculation of an optimized crystal structure of Sr2Ta, from Alexandria.

As for the excess energy over the best structure of this formula in the dataset: 363 meV per atom. The magnetic moment is 0.00 μB per cell. The formation energy comes out at 2.9 eV/f.u.

The structure belongs to space group P-3m1 (No. 164); the cell edges are 3.5035, 3.5035 and 9.1122 Å and the angles 90.00°, 90.00° and 120.00°. Symmetry generates all atoms from Sr at (0.3333, 0.6667, 0.2918) and Ta at (0.0000, 0.0000, 0.0000).


What is the magnetic moment in the third record? 0.00 μB per cell